InFeOF2 | PBE+U | optimized geometry

```
5
Lattice="4.381 0.000 0.000 0.000 4.381 0.000 0.000 0.000 3.854" Properties=species:S:1:pos:R:3 pbc="T T T"
In 0.000 0.000 0.000
Fe 2.190 2.190 1.927
O 2.190 2.190 0.000
F 0.000 2.190 1.927
F 2.190 0.000 1.927
```

Total DFT energy (no corrections) (eV/atom): -5.066